# BaY2SbAu

BaY2SbAu after structural relaxation (PBE-GGA, Alexandria via LeMat-Bulk).

Structure (POSCAR):
```
BaY2SbAu
1.0
5.8586 0.0000 0.0000
0.0000 5.8586 0.0000
0.0000 0.0000 5.8743
Ba Y Sb Au
1 2 1 1
Direct
0.0000 0.0000 0.0000
0.0000 0.5000 0.0000
0.5000 0.0000 0.0000
0.0000 0.0000 0.5000
0.5000 0.5000 0.5000
```

Results
As for the total energy: -3.26 eV/atom. As for the space group: P4/mmm (123). Its crystal system is tetragonal.

***

# LaPuSbPd

LaPuSbPd after structural relaxation (PBE-GGA, Alexandria via LeMat-Bulk).

Structure (POSCAR):
```
LaPuSbPd
1.0
0.0000 3.7588 3.7588
3.7588 0.0000 3.7588
3.7588 3.7588 0.0000
La Pu Sb Pd
1 1 1 1
Direct
0.0000 0.0000 0.0000
0.5000 0.5000 0.5000
0.2500 0.2500 0.2500
0.7500 0.7500 0.7500
```

Results
As for the total energy: -7.78 eV/atom. As for the space group: F-43m (216). Its crystal system is cubic.

***

# InSbN

InSbN after structural relaxation (PBE-GGA, Alexandria via LeMat-Bulk).

Structure (POSCAR):
```
InSbN
1.0
3.1936 -1.5625 0.0000
3.1936 1.5625 0.0000
-0.4992 0.0000 12.6470
In Sb N
2 2 2
Direct
0.1275 0.1275 0.3851
0.8725 0.8725 0.6149
0.1365 0.1365 0.8559
0.8635 0.8635 0.1441
0.3863 0.3863 0.2616
0.6137 0.6137 0.7384
```

Results
As for the total energy: -4.61 eV/atom. As for the space group: C2/m (12). Its crystal system is monoclinic.

***

Listing volume for the structures above in their given order: 201.63, 106.21, 126.21 Å³/cell.
Listing Fermi-level density of states for the structures above in their given order: 1.185, 3.197, 0.227 states/eV per atom.
Listing energy relative to the elements, uncorrected for the structures above in their given order: 1189, -636, 449 meV per atom.